An optimized crystal structure of SrCdAg2. Source: the Alexandria database, functional GGA-PBE.

Lattice parameters (Å, degrees): 7.6733 4.8337 10.8206 90.00 90.00 90.00
With the nearest neighbours (Å) after each atom.
Space group Pnma (No. 62)
Symmetry-distinct sites (fractional):
Sr (0.2130, 0.2500, 0.1720) (multiplicity 4)  8 Ag 3.22-3.56, 3 Cd 3.52-3.60
Cd (0.0475, 0.7500, 0.3945) (multiplicity 4)  5 Ag 2.89-3.08
Ag (0.0791, 0.2500, 0.8630) (multiplicity 4)  3 Ag 2.88-2.97, 2 Cd 2.89-2.95
Ag (0.2240, 0.7500, 0.9658) (multiplicity 4)  3 Ag 2.88-2.97, 3 Cd 2.91-3.08, 1 Sr 3.22

Values from the calculation:
* energy of formation: -0.27 eV per atom

An optimized crystal structure of BaW3Se. Source: the Alexandria database, functional GGA-PBE.

Lattice parameters (Å, degrees): 5.0347 5.0347 5.0347 90.00 90.00 90.00
With the nearest neighbours (Å) after each atom.
Space group Pm-3m (No. 221)
Symmetry-distinct sites (fractional):
Ba (0.0000, 0.0000, 0.0000) (multiplicity 1)  6 W 2.52
W (0.0000, 0.0000, 0.5000) (multiplicity 3)  2 Ba 2.52
Se (0.5000, 0.5000, 0.5000) (multiplicity 1)  12 W 3.56

Values from the calculation:
* uncorrected formation energy: 379.6 kJ/mol of atoms
* energy relative to the lowest polymorph listed for this composition: 1107 kJ/mol of formula units

An optimized crystal structure of LaYGeRh. Source: the Alexandria database, functional GGA-PBE.

Lattice parameters (Å, degrees): 7.2055 7.2055 7.2055 90.00 90.00 90.00
With the nearest neighbours (Å) after each atom.
Space group F-43m (No. 216)
Symmetry-distinct sites (fractional):
La (0.0000, 0.0000, 0.0000) (multiplicity 4)  4 Ge 3.12, 4 Rh 3.12
Y (0.0000, 0.0000, 0.5000) (multiplicity 4)  4 Rh 3.12, 4 Ge 3.12
Ge (0.2500, 0.2500, 0.7500) (multiplicity 4)  4 Y 3.12, 4 La 3.12
Rh (0.2500, 0.2500, 0.2500) (multiplicity 4)  4 La 3.12, 4 Y 3.12

Values from the calculation:
* energy of formation: -0.66 eV per atom
* energy relative to the lowest polymorph listed for this composition: 65 kJ/mol of formula units

An optimized crystal structure of SbPN2F. Source: the Alexandria database, functional GGA-PBE.

Lattice parameters (Å, degrees): 3.8314 3.8314 3.8308 90.00 90.00 90.00
With the nearest neighbours (Å) after each atom.
Space group P4/mmm (No. 123)
Symmetry-distinct sites (fractional):
Sb (0.0000, 0.0000, 0.0000) (multiplicity 1)  8 N 2.71, 4 F 2.71
P (0.5000, 0.5000, 0.5000) (multiplicity 1)  2 F 1.92, 4 N 1.92
N (0.0000, 0.5000, 0.5000) (multiplicity 2)  2 P 1.92
F (0.5000, 0.5000, 0.0000) (multiplicity 1)  2 P 1.92

Values from the calculation:
* uncorrected formation energy: 38.2 kJ/mol of atoms
* energy relative to the lowest polymorph listed for this composition: 0 kJ/mol of formula units

An optimized crystal structure of SrLi2Hg. Source: the Alexandria database, functional GGA-PBE.

Lattice parameters (Å, degrees): 4.8465 4.8465 9.0604 90.00 90.00 90.00
With the nearest neighbours (Å) after each atom.
Space group I-4m2 (No. 119)
Symmetry-distinct sites (fractional):
Sr (0.0000, 0.0000, 0.0000) (multiplicity 2)  4 Hg 3.32, 8 Li 3.32-3.43
Li (0.0000, 0.0000, 0.5000) (multiplicity 2)  4 Hg 3.32, 4 Li 3.32, 4 Sr 3.43
Li (0.0000, 0.5000, 0.2500) (multiplicity 2)  4 Li 3.32, 4 Sr 3.32, 4 Hg 3.43
Hg (0.0000, 0.5000, 0.7500) (multiplicity 2)  8 Li 3.32-3.43, 4 Sr 3.32

Values from the calculation:
* energy of formation: -0.19 eV per atom

An optimized crystal structure of ZnPdI. Source: the Alexandria database, functional GGA-PBE.

Lattice parameters (Å, degrees): 10.1602 3.9223 6.9128 90.00 90.00 90.00
With the nearest neighbours (Å) after each atom.
Space group Amm2 (No. 38)
Symmetry-distinct sites (fractional):
Zn (0.1281, 0.0000, 0.0000) (multiplicity 4)  1 Zn 2.60, 3 Pd 2.61-2.66, 1 I 2.86
Pd (0.0000, 0.0000, 0.3356) (multiplicity 2)  6 Zn 2.61-2.66
Pd (0.5000, 0.0000, 0.0245) (multiplicity 2)  6 I 2.80-3.11
I (0.3087, 0.0000, 0.3166) (multiplicity 4)  3 Pd 2.80-3.11, 3 Zn 2.86-2.97

Values from the calculation:
* uncorrected formation energy: 2.1 kJ/mol of atoms

An optimized crystal structure of SrPrDy2Se4. Source: the Alexandria database, functional GGA-PBE.

Lattice parameters (Å, degrees): 7.2873 4.1671 7.3066 90.00 108.96 90.00
With the nearest neighbours (Å) after each atom.
Space group P2/m (No. 10)
Symmetry-distinct sites (fractional):
Sr (0.0000, 0.0000, 0.0000) (multiplicity 1)  6 Se 3.04-3.05
Pr (0.5000, 0.5000, 0.0000) (multiplicity 1)  6 Se 3.04
Dy (0.0000, 0.5000, 0.5000) (multiplicity 1)  6 Se 2.90-2.91
Dy (0.5000, 0.0000, 0.5000) (multiplicity 1)  6 Se 2.90
Se (0.2445, 0.0000, 0.7329) (multiplicity 2)  3 Dy 2.90-2.91, 1 Sr 3.04, 2 Pr 3.04
Se (0.2569, 0.5000, 0.2684) (multiplicity 2)  3 Dy 2.90, 1 Pr 3.04, 2 Sr 3.05

Values from the calculation:
* uncorrected formation energy: -176.8 kJ/mol of atoms

An optimized crystal structure of DyIn6Cu6. Source: the Alexandria database, functional GGA-PBE.

Lattice parameters (Å, degrees): 5.4841 9.2200 9.2590 90.00 90.00 90.00
With the nearest neighbours (Å) after each atom.
Space group Immm (No. 71)
Symmetry-distinct sites (fractional):
Dy (0.0000, 0.0000, 0.0000) (multiplicity 2)  8 In 3.11-3.22
In (0.0000, 0.0000, 0.3417) (multiplicity 4)  6 Cu 2.81-2.83, 3 In 2.93-3.12
In (0.0000, 0.3374, 0.0000) (multiplicity 4)  6 Cu 2.81-2.89, 1 In 3.00, 1 Dy 3.11
In (0.0000, 0.5000, 0.3181) (multiplicity 4)  6 Cu 2.76
Cu (0.0000, 0.2632, 0.5000) (multiplicity 4)  4 Cu 2.69, 6 In 2.76-2.89
Cu (0.2500, 0.2500, 0.2500) (multiplicity 8)  4 Cu 2.69-2.74, 6 In 2.76-2.81

Values from the calculation:
* energy of formation: -0.13 eV per atom

An optimized crystal structure of Tb2PrRu. Source: the Alexandria database, functional GGA-PBE.

Lattice parameters (Å, degrees): 7.3712 9.4023 6.4470 90.00 90.00 90.00
With the nearest neighbours (Å) after each atom.
Space group Pnma (No. 62)
Symmetry-distinct sites (fractional):
Tb (0.1763, 0.0671, 0.1680) (multiplicity 8)  2 Ru 2.84-2.92
Pr (0.0408, 0.2500, 0.6366) (multiplicity 4)  2 Ru 2.83-2.94
Ru (0.1138, 0.7500, 0.9437) (multiplicity 4)  2 Pr 2.83-2.94, 4 Tb 2.84-2.92

Values from the calculation:
* energy of formation: -0.26 eV per atom
* energy relative to the lowest polymorph listed for this composition: 0 kJ/mol of formula units

An optimized crystal structure of VCrRu2. Source: the Alexandria database, functional GGA-PBE.

Lattice parameters (Å, degrees): 4.1930 4.1930 10.6821 90.00 90.00 120.00
With the nearest neighbours (Å) after each atom.
Space group R3m (No. 160, hexagonal axes)
Symmetry-distinct sites (fractional):
V (0.0000, 0.0000, 0.0000) (multiplicity 3)  4 Cr 2.50-2.64, 3 Ru 2.53
Cr (0.0000, 0.0000, 0.7657) (multiplicity 3)  4 V 2.50-2.64, 3 Ru 2.52
Ru (0.0000, 0.0000, 0.2643) (multiplicity 3)  4 Ru 2.48-2.65, 3 V 2.53
Ru (0.0000, 0.0000, 0.4964) (multiplicity 3)  4 Ru 2.48-2.65, 3 Cr 2.52

Values from the calculation:
* energy of formation: 0.15 eV per atom

An optimized crystal structure of TbSm4Dy2. Source: the Alexandria database, functional GGA-PBE.

Lattice parameters (Å, degrees): 6.1873 6.6121 11.6383 90.00 104.87 90.00
With the nearest neighbours (Å) after each atom.
Space group P2_1/m (No. 11)
Symmetry-distinct sites (fractional):
Tb (0.1526, 0.2500, 0.1615) (multiplicity 2)  6 Sm 3.34-3.49, 1 Dy 3.44
Sm (0.0319, 0.2500, 0.8607) (multiplicity 2)  2 Sm 3.38, 3 Tb 3.39-3.49, 3 Dy 3.40-3.49
Sm (0.1496, 0.2500, 0.4484) (multiplicity 2)  1 Tb 3.34, 4 Dy 3.39-3.44, 4 Sm 3.47-3.57
Sm (0.3508, 0.5072, 0.7140) (multiplicity 4)  5 Sm 3.21-3.57, 1 Tb 3.44, 1 Dy 3.52
Dy (0.2887, 0.7500, 0.4262) (multiplicity 2)  9 Sm 3.39-3.64
Dy (0.3946, 0.7500, 0.0040) (multiplicity 2)  6 Sm 3.40-3.68, 2 Tb 3.44-3.79, 2 Dy 3.56

Values from the calculation:
* energy of formation: 0.13 eV per atom
* energy relative to the lowest polymorph listed for this composition: 0 kJ/mol of formula units